Entry from the Alexandria database: a relaxed Ba3Ru2O7 crystal (PBE).

extended XYZ file:
```
12
Lattice="2.053 -11.376 0.000 2.053 11.376 0.000 0.000 0.000 4.023" Properties=species:S:1:pos:R:3 pbc="T T T"
Ba 0.000 0.000 0.000
Ba 2.053 7.437 0.000
Ba 2.053 -7.437 0.000
Ru 2.053 2.060 2.012
Ru 2.053 -2.060 2.012
O 2.053 9.311 2.012
O 2.053 4.069 2.012
O 2.053 2.067 0.000
O 2.053 0.000 2.012
O 2.053 -2.067 0.000
O 2.053 -4.069 2.012
O 2.053 -9.311 2.012
```

Properties
Space group   Cmmm (65)
Energy relative to the lowest polymorph listed for this composition   1.35 kcal/mol of atoms
Magnetization   4.38 μB/f.u.
Formation energy (no corrections)   -1.82 eV/atom
DOS(E_F)   3.9 states/eV/cell

=====

Entry from the Alexandria database: a relaxed Ba3Ru2O7 crystal (PBE).

extended XYZ file:
```
12
Lattice="-2.048 2.048 10.735 2.048 -2.048 10.735 2.048 2.048 -10.735" Properties=species:S:1:pos:R:3 pbc="T T T"
Ba 0.000 0.000 0.000
Ba 0.000 0.000 3.929
Ba 0.000 0.000 17.541
Ru 0.000 0.000 8.692
Ru 0.000 0.000 12.778
O 2.048 0.000 2.041
O 0.000 0.000 6.668
O 2.048 0.000 8.695
O 0.000 0.000 10.735
O 0.000 2.048 2.041
O 0.000 0.000 14.803
O 0.000 2.048 8.695
```

Properties
Space group   I4/mmm (139)
Energy relative to the lowest polymorph listed for this composition   0.00 kcal/mol of atoms
Magnetization   4.67 μB/f.u.
Formation energy (no corrections)   -1.88 eV/atom
DOS(E_F)   3.2 states/eV/cell

=====

Entry from the Alexandria database: a relaxed BaRuO4 crystal (PBE).

extended XYZ file:
```
6
Lattice="3.760 0.000 0.000 0.000 3.760 0.000 0.000 0.000 6.422" Properties=species:S:1:pos:R:3 pbc="T T T"
Ba 0.000 0.000 0.000
Ru 1.880 1.880 3.211
O 0.000 1.880 3.211
O 1.880 0.000 3.211
O 1.880 1.880 1.262
O 1.880 1.880 5.160
```

Properties
Space group   P4/mmm (123)
Energy relative to the lowest polymorph listed for this composition   5.38 kcal/mol of atoms
Magnetization   1.24 μB/f.u.
Formation energy (no corrections)   -1.37 eV/atom
DOS(E_F)   3.5 states/eV/cell

=====

Entry from the Alexandria database: a relaxed Ba2RuO6 crystal (PBE).

extended XYZ file:
```
18
Lattice="5.519 0.000 0.000 0.000 5.519 0.000 0.000 0.000 11.004" Properties=species:S:1:pos:R:3 pbc="T T T"
Ba 0.000 0.000 1.869
Ba 0.000 0.000 9.135
Ba 2.760 2.760 3.633
Ba 2.760 2.760 7.371
Ru 0.000 0.000 5.502
Ru 2.760 2.760 0.000
O 0.936 0.936 4.135
O 0.936 0.936 6.868
O 1.316 4.203 5.502
O 1.443 1.443 0.000
O 1.824 3.695 1.366
O 1.824 3.695 9.637
O 3.695 1.824 1.366
O 3.695 1.824 9.637
O 4.076 4.076 0.000
O 4.203 1.316 5.502
O 4.583 4.583 4.135
O 4.583 4.583 6.868
```

Properties
Space group   P4_2/mnm (136)
Energy relative to the lowest polymorph listed for this composition   1.80 kcal/mol of atoms
Magnetization   0.00 μB/f.u.
Formation energy (no corrections)   -1.52 eV/atom

=====

Entry from the Alexandria database: a relaxed BaRu2O6 crystal (PBE).

extended XYZ file:
```
18
Lattice="0.000 5.056 5.056 5.056 0.000 5.056 5.056 5.056 0.000" Properties=species:S:1:pos:R:3 pbc="T T T"
Ba 1.264 1.264 1.264
Ba 8.848 8.848 8.848
Ru 5.056 2.528 2.528
Ru 2.528 5.056 2.528
Ru 2.528 2.528 5.056
Ru 5.056 5.056 5.056
O 3.792 3.792 1.775
O 3.792 1.775 3.792
O 5.809 3.792 3.792
O 6.320 6.320 4.303
O 6.320 4.303 6.320
O 8.337 6.320 6.320
O 1.775 3.792 3.792
O 3.792 5.809 3.792
O 3.792 3.792 5.809
O 4.303 6.320 6.320
O 6.320 8.337 6.320
O 6.320 6.320 8.337
```

Properties
Space group   Fd-3m (227)
Energy relative to the lowest polymorph listed for this composition   2.49 kcal/mol of atoms
Magnetization   1.22 μB/f.u.
Formation energy (no corrections)   -1.31 eV/atom
DOS(E_F)   16.5 states/eV/cell

=====

Entry from the Alexandria database: a relaxed Ba3Ru2O8 crystal (PBE).

extended XYZ file:
```
13
Lattice="2.981 1.721 7.315 -2.981 1.721 7.315 0.000 -3.442 7.315" Properties=species:S:1:pos:R:3 pbc="T T T"
Ba 0.000 0.000 0.000
Ba 0.000 0.000 4.467
Ba 0.000 0.000 17.477
Ru 0.000 0.000 8.887
Ru 0.000 0.000 13.057
O -1.499 -0.866 12.387
O 0.000 -1.731 9.557
O -1.499 0.866 9.557
O 0.000 0.000 7.064
O 0.000 0.000 14.880
O 1.499 -0.866 12.387
O 0.000 1.731 12.387
O 1.499 0.866 9.557
```

Properties
Space group   R-3m (166)
Magnetization   2.05 μB/f.u.
Formation energy (no corrections)   -1.76 eV/atom
DOS(E_F)   8.9 states/eV/cell

=====

Entry from the Alexandria database: a relaxed BaRuO2 crystal (PBE).

extended XYZ file:
```
8
Lattice="-2.464 2.464 5.901 2.464 -2.464 5.901 2.464 2.464 -5.901" Properties=species:S:1:pos:R:3 pbc="T T T"
Ba 0.000 0.000 0.000
Ba 0.000 2.464 2.951
Ru 2.464 0.000 2.951
Ru 0.000 0.000 5.901
O 1.232 -0.613 4.426
O 1.850 1.232 1.475
O 1.232 3.077 -1.475
O 0.613 1.232 7.377
```

Properties
Space group   I-42d (122)
Magnetization   0.00 μB/f.u.
Formation energy (no corrections)   -1.14 eV/atom
DOS(E_F)   4.1 states/eV/cell

=====

Entry from the Alexandria database: a relaxed Ba3Ru5O12 crystal (PBE).

extended XYZ file:
```
80
Lattice="-6.665 6.665 6.665 6.665 -6.665 6.665 6.665 6.665 -6.665" Properties=species:S:1:pos:R:3 pbc="T T T"
Ba 3.333 1.666 0.000
Ba 6.665 3.333 -1.666
Ba 1.666 0.000 3.333
Ba 8.331 0.000 3.333
Ba 0.000 3.333 1.666
Ba 3.333 -1.666 6.665
Ba 3.333 8.331 0.000
Ba 6.665 3.333 4.999
Ba -1.666 6.665 3.333
Ba 4.999 6.665 3.333
Ba 0.000 3.333 8.331
Ba 3.333 4.999 6.665
Ru 0.000 0.000 0.000
Ru 3.333 3.333 -3.333
Ru 3.333 -3.333 3.333
Ru 6.665 0.000 0.000
Ru 9.998 1.666 0.000
Ru 6.665 -3.333 4.999
Ru 4.999 6.665 -3.333
Ru 4.999 0.000 3.333
Ru 3.333 4.999 0.000
Ru 6.665 3.333 1.666
Ru -3.333 3.333 3.333
Ru 0.000 6.665 0.000
Ru 0.000 0.000 6.665
Ru 3.333 3.333 3.333
Ru 0.000 3.333 4.999
Ru 3.333 1.666 6.665
Ru 1.666 6.665 3.333
Ru 1.666 0.000 9.998
Ru 0.000 9.998 1.666
Ru -3.333 4.999 6.665
O 1.898 -0.521 0.606
O 8.100 3.938 -3.854
O 8.563 0.521 0.606
O 8.100 -2.727 3.854
O 6.144 -0.606 1.898
O 10.519 -1.435 2.727
O 0.606 1.898 -0.521
O 9.392 2.811 -1.435
O 3.938 3.854 -1.435
O 6.059 1.898 0.521
O -0.521 0.606 1.898
O 3.854 -1.435 3.938
O 6.144 6.059 -1.898
O 3.854 1.435 2.727
O 3.938 -3.854 8.100
O 6.059 -1.898 6.144
O 2.727 3.854 1.435
O 7.271 4.767 0.521
O 3.854 8.100 -2.727
O 6.144 0.606 4.767
O 1.898 6.144 -0.606
O 8.100 2.727 2.811
O 1.435 2.727 3.854
O 1.898 0.521 6.059
O 4.767 6.144 0.606
O 5.230 3.938 2.811
O -1.435 3.938 3.854
O 4.767 0.521 7.271
O 0.521 6.059 1.898
O 2.811 -1.435 9.392
O -0.606 1.898 6.144
O 3.938 2.811 5.230
O 0.606 8.563 0.521
O 2.727 10.519 -1.435
O 2.811 5.230 3.938
O 0.521 0.606 8.563
O 2.811 8.100 2.727
O 7.186 6.059 4.767
O 0.606 4.767 6.144
O 2.727 2.811 8.100
O -2.727 3.854 8.100
O 6.059 4.767 7.186
O -3.854 8.100 3.938
O 0.521 7.271 4.767
O -1.435 9.392 2.811
O -1.898 6.144 6.059
O -1.435 2.727 10.519
O 4.767 7.186 6.059
```

Properties
Space group   Ia-3d (230)
Magnetization   0.00 μB/f.u.
Formation energy (no corrections)   -1.31 eV/atom
DOS(E_F)   55.3 states/eV/cell

=====

Entry from the Alexandria database: a relaxed Ba2RuO6 crystal (PBE).

extended XYZ file:
```
9
Lattice="0.000 4.142 4.142 4.142 0.000 4.142 4.142 4.142 0.000" Properties=species:S:1:pos:R:3 pbc="T T T"
Ba 2.071 2.071 2.071
Ba 6.214 6.214 6.214
Ru 0.000 0.000 0.000
O 4.142 4.142 1.884
O 4.142 1.884 4.142
O 6.401 4.142 4.142
O 1.884 4.142 4.142
O 4.142 6.401 4.142
O 4.142 4.142 6.401
```

Properties
Space group   Fm-3m (225)
Energy relative to the lowest polymorph listed for this composition   0.00 kcal/mol of atoms
Magnetization   0.00 μB/f.u.
Formation energy (no corrections)   -1.59 eV/atom
DOS(E_F)   1.0 states/eV/cell

=====

Entry from the Alexandria database: a relaxed Ba5Ru2O11 crystal (PBE).

extended XYZ file:
```
36
Lattice="3.043 -5.242 0.000 3.043 5.242 0.000 -0.410 0.000 18.274" Properties=species:S:1:pos:R:3 pbc="T T T"
Ba 2.985 -5.239 2.547
Ba 2.895 -5.239 6.590
Ba 2.780 5.239 11.684
Ba 2.690 5.239 15.728
Ba 2.789 1.730 9.450
Ba 2.735 1.721 13.706
Ba 2.681 1.730 17.961
Ba 2.995 -1.730 0.313
Ba 2.940 -1.721 4.569
Ba 2.886 -1.730 8.824
Ru 2.868 1.759 5.973
Ru 3.013 1.759 3.164
Ru 2.662 -1.759 15.110
Ru 2.808 -1.759 12.302
O 1.395 2.564 6.895
O 1.677 2.556 2.027
O 0.442 0.382 9.143
O 0.647 -0.382 0.006
O 1.596 1.004 4.503
O 2.940 3.318 4.569
O 1.391 -1.004 13.640
O 4.204 2.556 7.110
O 2.806 0.112 6.938
O 2.601 -0.112 16.075
O 1.189 -2.564 16.032
O 4.486 2.564 2.242
O 3.075 0.112 2.199
O 2.869 -0.112 11.337
O 1.472 -2.556 11.164
O 4.284 1.004 4.634
O 2.735 -3.318 13.706
O 4.079 -1.004 13.771
O 5.028 0.382 18.268
O 5.233 -0.382 9.131
O 3.999 -2.556 16.247
O 4.281 -2.564 11.379
```

Properties
Space group   C2/c (15)
Magnetization   6.01 μB/f.u.
Formation energy (no corrections)   -1.96 eV/atom
DOS(E_F)   0.4 states/eV/cell

=====

Entry from the Alexandria database: a relaxed Ba5RuO6 crystal (PBE).

extended XYZ file:
```
12
Lattice="3.310 -5.717 0.000 3.310 5.717 0.000 -2.174 0.000 6.119" Properties=species:S:1:pos:R:3 pbc="T T T"
Ba 0.000 0.000 0.000
Ba 2.223 3.789 3.060
Ba 3.310 1.828 0.000
Ba 3.310 -1.828 0.000
Ba 2.223 -3.789 3.060
Ru 2.223 0.000 3.060
O 1.238 1.675 1.676
O 0.238 0.000 4.493
O 1.238 -1.675 1.676
O 3.208 1.675 4.444
O 4.208 0.000 1.626
O 3.208 -1.675 4.444
```

Properties
Space group   C2/m (12)
Magnetization   0.14 μB/f.u.
Formation energy (no corrections)   -1.91 eV/atom

=====

Entry from the Alexandria database: a relaxed BaRuO2 crystal (PBE).

extended XYZ file:
```
4
Lattice="2.042 1.179 6.055 -2.042 1.179 6.055 0.000 -2.358 6.055" Properties=species:S:1:pos:R:3 pbc="T T T"
Ba 0.000 0.000 0.000
Ru 0.000 0.000 9.082
O 0.000 0.000 7.261
O 0.000 0.000 10.903
```

Properties
Space group   R-3m (166)
Magnetization   1.17 μB/f.u.
Formation energy (no corrections)   -1.18 eV/atom
DOS(E_F)   7.0 states/eV/cell

=====

formation energy (no corrections) of number 8 (Ba3Ru5O12)? -1.31 eV/atom